[1]
Density functional theory data (PBE) for a relaxed Tb5Er3Sn crystal.

The structure belongs to space group C2/m (No. 12); the cell edges are 13.8128, 7.9508 and 11.0096 Å and the angles 90.00°, 96.08° and 90.00°. The distinct sites, in fractional coordinates, are Tb at (0.0000, 0.1667, 0.0000), Tb at (0.0025, 0.0000, 0.3614), Tb at (0.1249, 0.2969, 0.7616), Tb at (0.2371, 0.5000, 0.0439), Er at (0.0000, 0.5000, 0.0000), Er at (0.0000, 0.5000, 0.5000), Er at (0.1681, 0.0000, 0.2126), Er at (0.2376, 0.0000, 0.5313) and Sn at (0.0936, 0.5000, 0.2609).

The density of states at the Fermi level comes out at 1.334 states/eV/atom. The value obtained for the calculated formation energy is 0.35 eV per atom. Its magnetic moment is 0.00 μB/f.u.

=====

[2]
Density functional theory data (PBE) for a relaxed TbErSn2 crystal.

The structure belongs to space group Amm2 (No. 38); the cell edges are 4.3031, 4.4764 and 11.3939 Å and the angles 90.00°, 90.00° and 90.00°. The distinct sites, in fractional coordinates, are Tb at (0.0000, 0.0000, 0.0000), Er at (0.5000, 0.0000, 0.7324), Sn at (0.0000, 0.0000, 0.2721) and Sn at (0.5000, 0.0000, 0.4604).

The density of states at the Fermi level comes out at 0.657 states/eV/atom. The value obtained for the calculated formation energy is -0.72 eV per atom. Its magnetic moment is 0.00 μB/f.u.

=====

[3]
Density functional theory data (PBE) for a relaxed Tb3ErSn12 crystal.

The structure belongs to space group P4/mmm (No. 123); the cell edges are 4.7345, 4.7345 and 18.6774 Å and the angles 90.00°, 90.00° and 90.00°. The distinct sites, in fractional coordinates, are Tb at (0.0000, 0.0000, 0.0000), Tb at (0.0000, 0.0000, 0.2506), Er at (0.0000, 0.0000, 0.5000), Sn at (0.0000, 0.5000, 0.1255), Sn at (0.0000, 0.5000, 0.3765), Sn at (0.5000, 0.5000, 0.0000), Sn at (0.5000, 0.5000, 0.2510) and Sn at (0.5000, 0.5000, 0.5000).

The density of states at the Fermi level comes out at 0.490 states/eV/atom. The value obtained for the calculated formation energy is -0.43 eV per atom. Its magnetic moment is 0.00 μB/f.u.

=====

[4]
Density functional theory data (PBE) for a relaxed Tb2ErSn crystal.

The structure belongs to space group P4/mmm (No. 123); the cell edges are 4.7978, 4.7978 and 4.8146 Å and the angles 90.00°, 90.00° and 90.00°. The distinct sites, in fractional coordinates, are Tb at (0.0000, 0.5000, 0.0000), Er at (0.0000, 0.0000, 0.5000) and Sn at (0.5000, 0.5000, 0.5000).

The density of states at the Fermi level comes out at 1.100 states/eV/atom. The value obtained for the calculated formation energy is -0.42 eV per atom. Its magnetic moment is 0.00 μB/f.u.

=====

[5]
Density functional theory data (PBE) for a relaxed TbErSn crystal.

The structure belongs to space group P3m1 (No. 156); the cell edges are 5.0927, 5.0927 and 3.8333 Å and the angles 90.00°, 90.00° and 120.00°. The distinct sites, in fractional coordinates, are Tb at (0.0000, 0.0000, 0.0000), Er at (0.3333, 0.6667, 0.4467) and Sn at (0.6667, 0.3333, 0.6920).

The density of states at the Fermi level comes out at 0.872 states/eV/atom. The value obtained for the calculated formation energy is -0.35 eV per atom. Its magnetic moment is 0.00 μB/f.u.

=====

[6]
Density functional theory data (PBE) for a relaxed TbEr3Sn crystal.

The structure belongs to space group R3c (No. 161, hexagonal axes); the cell edges are 8.4211, 8.4211 and 16.2230 Å and the angles 90.00°, 90.00° and 120.00°. The distinct sites, in fractional coordinates, are Tb at (0.0000, 0.0000, 0.0000), Er at (0.1116, 0.4032, 0.3408) and Sn at (0.0000, 0.0000, 0.3136).

The density of states at the Fermi level comes out at 1.301 states/eV/atom. The value obtained for the calculated formation energy is 0.04 eV per atom. Its magnetic moment is 1.30 μB/f.u.

=====

[7]
Density functional theory data (PBE) for a relaxed Tb8Er6Sn crystal.

The structure belongs to space group P6/m (No. 175); the cell edges are 12.3966, 12.3966 and 3.5576 Å and the angles 90.00°, 90.00° and 120.00°. The distinct sites, in fractional coordinates, are Tb at (0.0939, 0.3065, 0.0000), Tb at (0.3333, 0.6667, 0.0000), Er at (0.1097, 0.6353, 0.5000) and Sn at (0.0000, 0.0000, 0.5000).

The density of states at the Fermi level comes out at 1.355 states/eV/atom. The value obtained for the calculated formation energy is 0.22 eV per atom. Its magnetic moment is 0.00 μB/f.u.

=====

[8]
Density functional theory data (PBE) for a relaxed TbEr3Sn3 crystal.

The structure belongs to space group P6_3/m (No. 176); the cell edges are 9.0437, 9.0437 and 5.4063 Å and the angles 90.00°, 90.00° and 120.00°. The distinct sites, in fractional coordinates, are Tb at (0.3333, 0.6667, 0.2500), Er at (0.0062, 0.2382, 0.2500) and Sn at (0.0757, 0.4525, 0.7500).

The density of states at the Fermi level comes out at 0.931 states/eV/atom. The value obtained for the calculated formation energy is -0.52 eV per atom. Its magnetic moment is 0.00 μB/f.u.

=====

[9]
Density functional theory data (PBE) for a relaxed Tb6ErSn4 crystal.

The structure belongs to space group I-42m (No. 121); the cell edges are 7.8170, 7.8170 and 11.8612 Å and the angles 90.00°, 90.00° and 90.00°. The distinct sites, in fractional coordinates, are Tb at (0.0000, 0.5000, 0.0000), Tb at (0.1633, 0.1633, 0.1696), Er at (0.0000, 0.0000, 0.5000) and Sn at (0.2243, 0.2243, 0.9038).

The density of states at the Fermi level comes out at 1.100 states/eV/atom. The value obtained for the calculated formation energy is -0.32 eV per atom. Its magnetic moment is 0.01 μB/f.u.

=====

[10]
Density functional theory data (PBE) for a relaxed Tb2ErSn2 crystal.

The structure belongs to space group P4/mbm (No. 127); the cell edges are 8.0253, 8.0253 and 4.4046 Å and the angles 90.00°, 90.00° and 90.00°. The distinct sites, in fractional coordinates, are Tb at (0.1700, 0.3300, 0.0000), Er at (0.0000, 0.0000, 0.5000) and Sn at (0.1325, 0.6325, 0.5000).

The density of states at the Fermi level comes out at 0.857 states/eV/atom. The value obtained for the calculated formation energy is -0.68 eV per atom. Its magnetic moment is 0.00 μB/f.u.

=====

[11]
Density functional theory data (PBE) for a relaxed TbErSn2 crystal.

The structure belongs to space group P4/mmm (No. 123); the cell edges are 4.8809, 4.8809 and 4.4086 Å and the angles 90.00°, 90.00° and 90.00°. The distinct sites, in fractional coordinates, are Tb at (0.0000, 0.0000, 0.0000), Er at (0.5000, 0.5000, 0.0000) and Sn at (0.0000, 0.5000, 0.5000).

The density of states at the Fermi level comes out at 1.059 states/eV/atom. The value obtained for the calculated formation energy is -0.61 eV per atom. Its magnetic moment is 0.00 μB/f.u.

=====

[12]
Density functional theory data (PBE) for a relaxed TbErSn crystal.

The structure belongs to space group I4mm (No. 107); the cell edges are 4.0575, 4.0575 and 9.9750 Å and the angles 90.00°, 90.00° and 90.00°. The distinct sites, in fractional coordinates, are Tb at (0.0000, 0.0000, 0.0000), Er at (0.0000, 0.0000, 0.3163) and Sn at (0.0000, 0.0000, 0.6601).

The density of states at the Fermi level comes out at 1.287 states/eV/atom. The value obtained for the calculated formation energy is -0.41 eV per atom. Its magnetic moment is 0.87 μB/f.u.